(1)
Crystalline CoHg2S at its relaxed geometry, computed with GGA-PBE.

Properties
D(E_F): 1.73 states/eV/atom
Raw formation energy: 12.745 kcal/mol of atoms

abc: 7.661 7.661 5.496
angles: 90.00 90.00 90.00
Sites, in units of the cell vectors:
Co1 0.000 0.000 0.000
Co2 0.000 0.500 0.250
Co3 0.500 0.000 0.750
Co4 0.500 0.500 0.500
Hg1 0.243 0.250 0.125
Hg2 0.250 0.743 0.375
Hg3 0.250 0.757 0.875
Hg4 0.257 0.250 0.625
Hg5 0.743 0.750 0.625
Hg6 0.750 0.243 0.875
Hg7 0.750 0.257 0.375
Hg8 0.757 0.750 0.125
S1 0.000 0.000 0.500
S2 0.000 0.500 0.750
S3 0.500 0.000 0.250
S4 0.500 0.500 0.000


(2)
Crystalline Nd3Sm5H12 at its relaxed geometry, computed with GGA-PBE.

Properties
E: -4.3475 eV per atom
D(E_F): 0.78 states/eV/atom

abc: 11.726 11.726 11.726
angles: 109.47 109.47 109.47
Sites, in units of the cell vectors:
Nd1 0.125 0.250 0.375
Nd2 0.125 0.375 0.750
Nd3 0.250 0.375 0.125
Nd4 0.250 0.875 0.625
Nd5 0.375 0.125 0.250
Nd6 0.375 0.750 0.125
Nd7 0.625 0.250 0.875
Nd8 0.625 0.875 0.750
Nd9 0.750 0.125 0.375
Nd10 0.750 0.625 0.875
Nd11 0.875 0.625 0.250
Nd12 0.875 0.750 0.625
Sm1 0.000 0.000 0.000
Sm2 0.000 0.000 0.500
Sm3 0.000 0.500 0.000
Sm4 0.000 0.500 0.500
Sm5 0.125 0.750 0.875
Sm6 0.125 0.875 0.250
Sm7 0.250 0.125 0.875
Sm8 0.250 0.625 0.375
Sm9 0.375 0.250 0.625
Sm10 0.375 0.625 0.750
Sm11 0.500 0.000 0.000
Sm12 0.500 0.000 0.500
Sm13 0.500 0.500 0.000
Sm14 0.500 0.500 0.500
Sm15 0.625 0.375 0.250
Sm16 0.625 0.750 0.375
Sm17 0.750 0.375 0.625
Sm18 0.750 0.875 0.125
Sm19 0.875 0.125 0.750
Sm20 0.875 0.250 0.125
H1 0.065 0.224 0.150
H2 0.065 0.340 0.915
H3 0.074 0.724 0.660
H4 0.074 0.850 0.415
H5 0.085 0.650 0.426
H6 0.085 0.935 0.660
H7 0.150 0.065 0.224
H8 0.150 0.585 0.926
H9 0.160 0.224 0.574
H10 0.160 0.435 0.585
H11 0.224 0.150 0.065
H12 0.224 0.574 0.160
H13 0.276 0.340 0.926
H14 0.276 0.435 0.350
H15 0.340 0.915 0.065
H16 0.340 0.926 0.276
H17 0.350 0.276 0.435
H18 0.350 0.574 0.915
H19 0.415 0.074 0.850
H20 0.415 0.840 0.565
H21 0.426 0.085 0.650
H22 0.426 0.840 0.776
H23 0.435 0.350 0.276
H24 0.435 0.585 0.160
H25 0.565 0.415 0.840
H26 0.565 0.650 0.724
H27 0.574 0.160 0.224
H28 0.574 0.915 0.350
H29 0.585 0.160 0.435
H30 0.585 0.926 0.150
H31 0.650 0.426 0.085
H32 0.650 0.724 0.565
H33 0.660 0.074 0.724
H34 0.660 0.085 0.935
H35 0.724 0.565 0.650
H36 0.724 0.660 0.074
H37 0.776 0.426 0.840
H38 0.776 0.850 0.935
H39 0.840 0.565 0.415
H40 0.840 0.776 0.426
H41 0.850 0.415 0.074
H42 0.850 0.935 0.776
H43 0.915 0.065 0.340
H44 0.915 0.350 0.574
H45 0.926 0.150 0.585
H46 0.926 0.276 0.340
H47 0.935 0.660 0.085
H48 0.935 0.776 0.850


(3)
Crystalline Ba2Be2Ni at its relaxed geometry, computed with GGA-PBE.

Properties
Distance to the lowest polymorph of the same formula: 0.275 eV per atom
D(E_F): 0.70 states/eV/atom

abc: 8.780 8.780 3.676
angles: 90.00 90.00 90.00
Sites, in units of the cell vectors:
Ba1 0.204 0.296 0.000
Ba2 0.296 0.796 0.000
Ba3 0.704 0.204 0.000
Ba4 0.796 0.704 0.000
Be1 0.082 0.582 0.500
Be2 0.418 0.082 0.500
Be3 0.582 0.918 0.500
Be4 0.918 0.418 0.500
Ni1 0.000 0.000 0.000
Ni2 0.500 0.500 0.000


(4)
Crystalline Na3MnPb at its relaxed geometry, computed with GGA-PBE.

Properties
Distance to the lowest polymorph of the same formula: 0.000 eV per atom
D(E_F): 0.62 states/eV/atom

abc: 5.920 5.920 5.920
angles: 90.00 90.00 90.00
Sites, in units of the cell vectors:
Na1 0.000 0.000 0.500
Na2 0.000 0.500 0.000
Na3 0.500 0.000 0.000
Mn1 0.500 0.500 0.500
Pb1 0.000 0.000 0.000


(5)
Crystalline Tb3Pd5Pt3 at its relaxed geometry, computed with GGA-PBE.

Properties
E: -5.7743 eV per atom
D(E_F): 0.59 states/eV/atom

abc: 8.365 8.365 4.016
angles: 90.00 90.00 120.00
Sites, in units of the cell vectors:
Tb1 0.000 0.405 0.000
Tb2 0.405 0.000 0.000
Tb3 0.595 0.595 0.000
Pd1 0.000 0.637 0.500
Pd2 0.333 0.667 0.500
Pd3 0.363 0.363 0.500
Pd4 0.637 0.000 0.500
Pd5 0.667 0.333 0.500
Pt1 0.000 0.185 0.500
Pt2 0.185 0.000 0.500
Pt3 0.815 0.815 0.500


(6)
Crystalline LiCaAlHg at its relaxed geometry, computed with GGA-PBE.

Properties
E: -2.2798 eV per atom
D(E_F): 0.27 states/eV/atom

abc: 6.931 6.931 6.931
angles: 90.00 90.00 90.00
Sites, in units of the cell vectors:
Li1 0.000 0.000 0.000
Li2 0.000 0.500 0.500
Li3 0.500 0.000 0.500
Li4 0.500 0.500 0.000
Ca1 0.250 0.250 0.750
Ca2 0.250 0.750 0.250
Ca3 0.750 0.250 0.250
Ca4 0.750 0.750 0.750
Al1 0.250 0.250 0.250
Al2 0.250 0.750 0.750
Al3 0.750 0.250 0.750
Al4 0.750 0.750 0.250
Hg1 0.000 0.000 0.500
Hg2 0.000 0.500 0.000
Hg3 0.500 0.000 0.000
Hg4 0.500 0.500 0.500


(7)
Crystalline K3CaV2Cl9 at its relaxed geometry, computed with GGA-PBE.

Properties
Raw formation energy: -38.835 kcal/mol of atoms

abc: 7.198 7.198 8.928
angles: 90.00 90.00 120.00
Sites, in units of the cell vectors:
K1 0.000 0.000 0.000
K2 0.333 0.667 0.694
K3 0.667 0.333 0.306
Ca1 0.000 0.000 0.500
V1 0.333 0.667 0.161
V2 0.667 0.333 0.839
Cl1 0.000 0.500 0.000
Cl2 0.173 0.345 0.320
Cl3 0.173 0.827 0.320
Cl4 0.345 0.173 0.680
Cl5 0.500 0.000 0.000
Cl6 0.500 0.500 0.000
Cl7 0.655 0.827 0.320
Cl8 0.827 0.173 0.680
Cl9 0.827 0.655 0.680


(8)
Crystalline Ca2ZnIrPt at its relaxed geometry, computed with GGA-PBE.

Properties
E: -3.7185 eV per atom
D(E_F): 0.57 states/eV/atom

abc: 5.300 5.300 4.491
angles: 90.00 90.00 90.00
Sites, in units of the cell vectors:
Ca1 0.000 0.500 0.000
Ca2 0.500 0.000 0.000
Zn1 0.000 0.000 0.000
Ir1 0.000 0.000 0.500
Pt1 0.500 0.500 0.500